Entry 1:
Density functional theory data (PBE) for a geometry-optimized Tm4MgIn3 structure.

Properties
Total magnetic moment in μB/atom: 0.00
Raw total energy in eV per atom: -3.82
Calculated formation energy in eV/atom: -0.36

```
data_Tm4MgIn3
_symmetry_space_group_name_H-M 'I 4/m m m'
_symmetry_Int_Tables_number 139
_symmetry_space_group_name_Hall '-I 4 2'
_cell_length_a 5.232
_cell_length_b 5.232
_cell_length_c 14.955
_cell_angle_alpha 90.00
_cell_angle_beta 90.00
_cell_angle_gamma 90.00
loop_
_atom_site_label
_atom_site_type_symbol
_atom_site_fract_x
_atom_site_fract_y
_atom_site_fract_z
_atom_site_occupancy
Tm1 Tm 0.000 0.500 0.125 1
Mg1 Mg 0.000 0.000 0.000 1
In1 In 0.000 0.000 0.246 1
In2 In 0.000 0.000 0.500 1
```


Entry 2:
Density functional theory data (PBE) for a geometry-optimized SrFeSe2 structure.

Properties
Formation energy from raw total energies in eV/atom: -0.838
Total magnetic moment in μB/atom: 1.00
Distance to the lowest polymorph of the same formula in meV per atom: 22.2
Raw total energy in eV per atom: -5.12

```
data_SrFeSe2
_symmetry_space_group_name_H-M 'C 1 m 1'
_symmetry_Int_Tables_number 8
_symmetry_space_group_name_Hall 'C -2y'
_cell_length_a 12.265
_cell_length_b 4.080
_cell_length_c 4.641
_cell_angle_alpha 90.00
_cell_angle_beta 93.66
_cell_angle_gamma 90.00
loop_
_atom_site_label
_atom_site_type_symbol
_atom_site_fract_x
_atom_site_fract_y
_atom_site_fract_z
_atom_site_occupancy
Sr1 Sr 0.000 0.000 0.000 1
Fe1 Fe 0.215 0.500 0.725 1
Se1 Se 0.038 0.500 0.501 1
Se2 Se 0.281 0.000 0.955 1
```


Entry 3:
Density functional theory data (PBE) for a geometry-optimized PrAlSn2 structure.

Properties
Total magnetic moment in μB/atom: 0.00
Raw total energy in eV per atom: -3.74
Calculated formation energy in eV/atom: 0.39

```
data_PrAlSn2
_symmetry_space_group_name_H-M 'R -3 m'
_symmetry_Int_Tables_number 166
_symmetry_space_group_name_Hall '-R 3 2"'
_cell_length_a 5.2924
_cell_length_b 5.2924
_cell_length_c 21.7232
_cell_angle_alpha 90.00
_cell_angle_beta 90.00
_cell_angle_gamma 120.00
loop_
_atom_site_label
_atom_site_type_symbol
_atom_site_fract_x
_atom_site_fract_y
_atom_site_fract_z
_atom_site_occupancy
Pr1 Pr 0.0000 0.0000 0.0000 1
Al1 Al 0.0000 0.0000 0.5000 1
Sn1 Sn 0.0000 0.0000 0.3793 1
```


Entry 4:
Density functional theory data (PBE) for a geometry-optimized BaCa2CoBr8 structure.

Properties
Formation energy from raw total energies in eV/atom: -1.550
Total magnetic moment in μB/atom: 0.25
Raw total energy in eV per atom: -3.75

```
data_BaCa2CoBr8
_symmetry_space_group_name_H-M 'P 1 2/m 1'
_symmetry_Int_Tables_number 10
_symmetry_space_group_name_Hall '-P 2y'
_cell_length_a 6.626
_cell_length_b 8.887
_cell_length_c 6.930
_cell_angle_alpha 90.00
_cell_angle_beta 91.62
_cell_angle_gamma 90.00
loop_
_atom_site_label
_atom_site_type_symbol
_atom_site_fract_x
_atom_site_fract_y
_atom_site_fract_z
_atom_site_occupancy
Ba1 Ba 0.000 0.000 0.000 1
Ca1 Ca 0.500 0.269 0.500 1
Co1 Co 0.000 0.500 0.000 1
Br1 Br 0.227 0.295 0.159 1
Br2 Br 0.252 0.500 0.679 1
Br3 Br 0.279 0.000 0.633 1
```


Entry 5:
Density functional theory data (PBE) for a geometry-optimized NdGdZn structure.

Properties
Total magnetic moment in μB/atom: 2.44
Distance to the lowest polymorph of the same formula in meV per atom: 159.1
Raw total energy in eV per atom: -6.76
Calculated formation energy in eV/atom: -0.05

```
data_NdGdZn
_symmetry_space_group_name_H-M 'P 3 m 1'
_symmetry_Int_Tables_number 156
_symmetry_space_group_name_Hall 'P 3 -2"'
_cell_length_a 5.0437
_cell_length_b 5.0437
_cell_length_c 3.7388
_cell_angle_alpha 90.00
_cell_angle_beta 90.00
_cell_angle_gamma 120.00
loop_
_atom_site_label
_atom_site_type_symbol
_atom_site_fract_x
_atom_site_fract_y
_atom_site_fract_z
_atom_site_occupancy
Nd1 Nd 0.0000 0.0000 0.0000 1
Gd1 Gd 0.3333 0.6667 0.5570 1
Zn1 Zn 0.6667 0.3333 0.3101 1
```


Entry 6:
Density functional theory data (PBE) for a geometry-optimized Pr2ThCd2Sn2 structure.

Properties
Total magnetic moment in μB/atom: 0.00
Raw total energy in eV per atom: -4.10
Calculated formation energy in eV/atom: -0.27

```
data_Pr2ThCd2Sn2
_symmetry_space_group_name_H-M 'R -3 m'
_symmetry_Int_Tables_number 166
_symmetry_space_group_name_Hall '-R 3 2"'
_cell_length_a 5.0032
_cell_length_b 5.0032
_cell_length_c 28.3381
_cell_angle_alpha 90.00
_cell_angle_beta 90.00
_cell_angle_gamma 120.00
loop_
_atom_site_label
_atom_site_type_symbol
_atom_site_fract_x
_atom_site_fract_y
_atom_site_fract_z
_atom_site_occupancy
Pr1 Pr 0.0000 0.0000 0.1275 1
Th1 Th 0.0000 0.0000 0.0000 1
Cd1 Cd 0.0000 0.0000 0.3925 1
Sn1 Sn 0.0000 0.0000 0.2609 1
```


Entry 7:
Density functional theory data (PBE) for a geometry-optimized UIn2Cl4F2 structure.

Properties
Formation energy from raw total energies in eV/atom: -1.840
Total magnetic moment in μB/atom: 0.22
Raw total energy in eV per atom: -4.94

```
data_UIn2Cl4F2
_symmetry_space_group_name_H-M 'C 1 2/m 1'
_symmetry_Int_Tables_number 12
_symmetry_space_group_name_Hall '-C 2y'
_cell_length_a 12.349
_cell_length_b 7.635
_cell_length_c 5.691
_cell_angle_alpha 90.00
_cell_angle_beta 100.05
_cell_angle_gamma 90.00
loop_
_atom_site_label
_atom_site_type_symbol
_atom_site_fract_x
_atom_site_fract_y
_atom_site_fract_z
_atom_site_occupancy
U1 U 0.000 0.000 0.000 1
In1 In 0.204 0.500 0.288 1
Cl1 Cl 0.113 0.246 0.807 1
F1 F 0.128 0.000 0.293 1
```


Entry 8:
Density functional theory data (PBE) for a geometry-optimized La4PrSm3Te8 structure.

Properties
Formation energy from raw total energies in eV/atom: -1.496
Total magnetic moment in μB/atom: 0.00
Raw total energy in eV per atom: -5.48

```
data_La4PrSm3Te8
_symmetry_space_group_name_H-M 'R -3 m'
_symmetry_Int_Tables_number 166
_symmetry_space_group_name_Hall '-R 3 2"'
_cell_length_a 9.0683
_cell_length_b 9.0683
_cell_length_c 22.0753
_cell_angle_alpha 90.00
_cell_angle_beta 90.00
_cell_angle_gamma 120.00
loop_
_atom_site_label
_atom_site_type_symbol
_atom_site_fract_x
_atom_site_fract_y
_atom_site_fract_z
_atom_site_occupancy
La1 La 0.0000 0.0000 0.0000 1
La2 La 0.0000 0.5000 0.0000 1
Pr1 Pr 0.0000 0.0000 0.5000 1
Sm1 Sm 0.0000 0.5000 0.5000 1
Te1 Te 0.0000 0.0000 0.2469 1
Te2 Te 0.0032 0.5016 0.7523 1
```


Entry 9:
Density functional theory data (PBE) for a geometry-optimized SrIr3Br structure.

Properties
Formation energy from raw total energies in eV/atom: 2.773
Total magnetic moment in μB/atom: 0.79
Distance to the lowest polymorph of the same formula in meV per atom: 1655.7
Raw total energy in eV per atom: -3.21

```
data_SrIr3Br
_symmetry_space_group_name_H-M 'P m -3 m'
_symmetry_Int_Tables_number 221
_symmetry_space_group_name_Hall '-P 4 2 3'
_cell_length_a 5.206
_cell_length_b 5.206
_cell_length_c 5.206
_cell_angle_alpha 90.00
_cell_angle_beta 90.00
_cell_angle_gamma 90.00
loop_
_atom_site_label
_atom_site_type_symbol
_atom_site_fract_x
_atom_site_fract_y
_atom_site_fract_z
_atom_site_occupancy
Sr1 Sr 0.000 0.000 0.000 1
Ir1 Ir 0.000 0.000 0.500 1
Br1 Br 0.500 0.500 0.500 1
```


Entry 10:
Density functional theory data (PBE) for a geometry-optimized RePIr3 structure.

Properties
Total magnetic moment in μB/atom: 0.66
Distance to the lowest polymorph of the same formula in meV per atom: 0.0
Raw total energy in eV per atom: -7.79
Calculated formation energy in eV/atom: 1.10

```
data_RePIr3
_symmetry_space_group_name_H-M 'P m -3 m'
_symmetry_Int_Tables_number 221
_symmetry_space_group_name_Hall '-P 4 2 3'
_cell_length_a 4.379
_cell_length_b 4.379
_cell_length_c 4.379
_cell_angle_alpha 90.00
_cell_angle_beta 90.00
_cell_angle_gamma 90.00
loop_
_atom_site_label
_atom_site_type_symbol
_atom_site_fract_x
_atom_site_fract_y
_atom_site_fract_z
_atom_site_occupancy
Re1 Re 0.000 0.000 0.000 1
P1 P 0.500 0.500 0.500 1
Ir1 Ir 0.000 0.500 0.500 1
```


Entry 11:
Density functional theory data (PBE) for a geometry-optimized HoSi4Rh4 structure.

Properties
Formation energy from raw total energies in eV/atom: -0.699
Total magnetic moment in μB/atom: 0.00
Raw total energy in eV per atom: -6.88

```
data_HoSi4Rh4
_symmetry_space_group_name_H-M 'P 42/n'
_symmetry_Int_Tables_number 86
_cell_length_a 7.966
_cell_length_b 7.966
_cell_length_c 4.727
_cell_angle_alpha 90.00
_cell_angle_beta 90.00
_cell_angle_gamma 90.00
loop_
_symmetry_equiv_pos_as_xyz
'x,y,z'
'-x,-y,-z'
'-y,x+1/2,z+1/2'
'y,-x+1/2,-z+1/2'
'-x+1/2,-y+1/2,z'
'x+1/2,y+1/2,-z'
'y+1/2,-x,z+1/2'
'-y+1/2,x,-z+1/2'
loop_
_atom_site_label
_atom_site_type_symbol
_atom_site_fract_x
_atom_site_fract_y
_atom_site_fract_z
_atom_site_occupancy
Ho1 Ho 0.250 0.250 0.250 1
Si1 Si 0.055 0.898 0.170 1
Rh1 Rh 0.112 0.877 0.666 1
```


Entry 12:
Density functional theory data (PBE) for a geometry-optimized Zr2SnRu structure.

Properties
Total magnetic moment in μB/atom: 0.00
Distance to the lowest polymorph of the same formula in meV per atom: 200.1
Raw total energy in eV per atom: -7.85
Calculated formation energy in eV/atom: -0.26

```
data_Zr2SnRu
_symmetry_space_group_name_H-M 'R -3 m'
_symmetry_Int_Tables_number 166
_symmetry_space_group_name_Hall '-R 3 2"'
_cell_length_a 3.3508
_cell_length_b 3.3508
_cell_length_c 26.2073
_cell_angle_alpha 90.00
_cell_angle_beta 90.00
_cell_angle_gamma 120.00
loop_
_atom_site_label
_atom_site_type_symbol
_atom_site_fract_x
_atom_site_fract_y
_atom_site_fract_z
_atom_site_occupancy
Zr1 Zr 0.0000 0.0000 0.2383 1
Sn1 Sn 0.0000 0.0000 0.0000 1
Ru1 Ru 0.0000 0.0000 0.5000 1
```


- The highest raw total energy belongs to which entry?
  SrIr3Br


- What is the raw total energy in the first record?
  -3.82 eV per atom